(1)
Mn2PdRu after structural relaxation. Source: Alexandria, functional PBE.

Calculated formation energy in eV per atom: 0.09
Space group: R-3m, No. 166
Raw total energy in eV per atom: -8.107
M_tot in μB per atom: 1.63

POSCAR file:
```
Mn2PdRu
1.0
2.7928 0.0000 0.0000
1.3964 2.4186 0.0000
1.3964 0.8062 8.4081
Pd Mn Ru
1 2 1
direct
0.5000 0.5000 0.5000 Pd
0.7478 0.7478 0.7566 Mn
0.2522 0.2522 0.2434 Mn
0.0000 0.0000 0.0000 Ru
```

(2)
Mn2PdRu after structural relaxation. Source: Alexandria, functional PBE.

Calculated formation energy in eV per atom: -0.03
Space group: P4/mmm, No. 123
Raw total energy in eV per atom: -8.234
M_tot in μB per atom: 1.92

POSCAR file:
```
Mn2PdRu
1.0
3.0709 0.0000 0.0000
0.0000 3.0709 0.0000
0.0000 0.0000 6.0640
Mn Ru Pd
2 1 1
direct
0.0000 0.0000 0.2594 Mn
0.0000 0.0000 0.7406 Mn
0.5000 0.5000 0.5000 Ru
0.5000 0.5000 0.0000 Pd
```

(3)
Mn2PdRu after structural relaxation. Source: Alexandria, functional PBE.

Calculated formation energy in eV per atom: 0.52
Space group: I-42d, No. 122
Raw total energy in eV per atom: -7.683
M_tot in μB per atom: 1.65

POSCAR file:
```
Mn2PdRu
1.0
6.7264 0.0000 0.0000
0.0000 6.7264 0.0000
3.3632 3.3632 2.7253
Mn Ru Pd
4 2 2
direct
0.1378 0.6250 0.2500 Mn
0.8750 0.8622 0.7500 Mn
0.3750 0.3878 0.7500 Mn
0.6122 0.1250 0.2500 Mn
0.2500 0.7500 0.5000 Ru
0.5000 0.5000 0.0000 Ru
0.0000 0.0000 0.0000 Pd
0.7500 0.2500 0.5000 Pd
```

(4)
Mn2PdRu2 after structural relaxation. Source: Alexandria, functional PBE.

Calculated formation energy in eV per atom: 0.20
Space group: P4/mbm, No. 127
Raw total energy in eV per atom: -8.219
M_tot in μB per atom: 0.59
Excess energy over the best structure of this formula in the dataset in eV/atom: 0.052

POSCAR file:
```
Mn2PdRu2
1.0
7.1435 0.0000 0.0000
0.0000 7.1435 0.0000
0.0000 0.0000 2.7146
Mn Ru Pd
4 4 2
direct
0.1661 0.6661 0.5000 Mn
0.8339 0.3339 0.5000 Mn
0.6661 0.8339 0.5000 Mn
0.3339 0.1661 0.5000 Mn
0.8704 0.6296 0.0000 Ru
0.6296 0.1296 0.0000 Ru
0.3704 0.8704 0.0000 Ru
0.1296 0.3704 0.0000 Ru
0.0000 0.0000 0.0000 Pd
0.5000 0.5000 0.0000 Pd
```

(5)
Mn3PdRu after structural relaxation. Source: Alexandria, functional PBE.

Calculated formation energy in eV per atom: 1.12
Space group: Pm-3m, No. 221
Raw total energy in eV per atom: -7.278
M_tot in μB per atom: 2.35
Excess energy over the best structure of this formula in the dataset in eV/atom: 0.000

POSCAR file:
```
Mn3PdRu
1.0
-3.3927 -1.7421 -2.6420
2.6917 -3.6255 -1.0660
-1.6643 -2.3123 3.6619
Mn Ru Pd
3 1 1
direct
0.0000 0.0000 0.5000 Mn
0.5000 0.0000 0.0000 Mn
0.0000 0.5000 0.0000 Mn
0.0000 0.0000 0.0000 Ru
0.5000 0.5000 0.5000 Pd
```

(6)
TaMnPd2Ru after structural relaxation. Source: Alexandria, functional PBE.

Calculated formation energy in eV per atom: 1.20
Space group: P4/mmm, No. 123
Raw total energy in eV per atom: -6.940
M_tot in μB per atom: 0.00

POSCAR file:
```
TaMnPd2Ru
1.0
-3.4660 -1.1405 2.5795
-0.1095 -4.0056 -1.9182
2.8182 -1.5601 3.0970
Pd Mn Ru Ta
2 1 1 1
direct
0.5000 0.0000 0.0000 Pd
0.0000 0.0000 0.5000 Pd
0.0000 0.0000 0.0000 Mn
0.5000 0.5000 0.5000 Ru
0.0000 0.5000 0.0000 Ta
```